# 1
An optimized crystal structure of LaMgAl2Mo, computed with PBE.

Lattice parameters (Å, degrees): 5.6237 4.9027 5.6237 90.00 90.00 90.00
Site moments in Bohr magnetons follow the coordinates.
Atoms (fractional coordinates):
Mg 0.5000 0.5000 0.5000  0.00
Mo 0.0000 0.5000 0.0000  1.08
Al 0.0000 0.0000 0.5000  0.00
Al 0.5000 0.0000 0.0000  -0.01
La 0.0000 0.0000 0.0000  -0.07

Uncorrected energy: -3.478 eV per atom
N(E_F): 4.52 states/eV/cell
Formation energy from the elements: 1489.5 meV/atom

# 2
An optimized crystal structure of Pm2NdY3Ho6, computed with PBE.

Lattice parameters (Å, degrees): 6.1887 6.1887 11.8116 95.00 95.00 119.96
Atoms (fractional coordinates):
Pm 0.3334 0.6666 0.0000
Pm 0.6666 0.3334 0.0000
Nd 0.0000 0.0000 0.0000
Y 0.1667 0.8333 0.5000
Y 0.8333 0.1667 0.5000
Y 0.5000 0.5000 0.5000
Ho 0.9150 0.5815 0.7479
Ho 0.7515 0.7515 0.2521
Ho 0.0850 0.4185 0.2521
Ho 0.5815 0.9150 0.7479
Ho 0.2485 0.2485 0.7479
Ho 0.4185 0.0850 0.2521

Uncorrected energy: -5.074 eV per atom
N(E_F): 16.58 states/eV/cell
Formation energy from the elements: 19.7 meV/atom

# 3
An optimized crystal structure of AlMoPt3, computed with PBE.

Lattice parameters (Å, degrees): 4.5370 4.5370 4.5370 90.00 90.00 90.00
Site moments in Bohr magnetons follow the coordinates.
Atoms (fractional coordinates):
Mo 0.5000 0.5000 0.5000  2.89
Al 0.0000 0.0000 0.0000  -0.01
Pt 0.0000 0.5000 0.0000  0.13
Pt 0.0000 0.0000 0.5000  0.09
Pt 0.5000 0.0000 0.0000  0.19

Uncorrected energy: -5.909 eV per atom
N(E_F): 4.77 states/eV/cell
Formation energy from the elements: 630.4 meV/atom
Excess energy over the best structure of this formula in the dataset: 0 meV per atom

# 4
An optimized crystal structure of ThZn2Sb, computed with PBE.

Lattice parameters (Å, degrees): 4.5750 4.4997 4.4997 90.00 90.00 90.00
Atoms (fractional coordinates):
Sb 0.5000 0.5000 0.5000
Zn 0.0000 0.0000 0.5000
Zn 0.0000 0.5000 0.0000
Th 0.5000 0.0000 0.0000

Uncorrected energy: -3.888 eV per atom
N(E_F): 1.85 states/eV/cell
Formation energy from raw total energies: -8.4 kcal/mol of atoms